Mg2AgPb | PBE | relaxed

The total energy comes out at -0.183 Ry per atom. The crystal system is tetragonal. The magnetic moment comes out at 0.00 μB/f.u. The formation enthalpy at 0 K comes out at -58 meV/atom.

It has space group I-4m2 (No. 119), with a = 4.373 Å, b = 4.373 Å, c = 9.387 Å, α = 90.00°, β = 90.00° and γ = 90.00°. The asymmetric unit holds Mg at (0.000, 0.000, 0.000), Mg at (0.000, 0.500, 0.250), Ag at (0.000, 0.000, 0.500) and Pb at (0.000, 0.500, 0.750).